# 1
VASP calculation (PBE) on a relaxed structure of Be2CoSb.

```
Be2CoSb
1.0
4.5294 0.0032 -0.0022
1.6064 4.2350 0.0022
-3.0675 -2.1197 2.5716
Be Sb Co
2 1 1
Direct
0.0001 0.0001 0.0000 Be
0.4999 0.4999 0.0000 Be
0.2500 0.7500 0.5000 Sb
0.7500 0.2500 0.5000 Co
```

Calculated values
Raw formation energy = 0.9 eV per formula unit
Space group = No. 139
DOS(E_F) = 2.01 states/eV per cell

***

# 2
VASP calculation (PBE) on a relaxed structure of Be2Co2Sb.

```
Be2Co2Sb
1.0
6.4126 0.0000 0.0000
0.0000 6.4126 0.0000
0.0000 0.0000 2.9353
Sb Be Co
2 4 4
Direct
0.5000 0.5000 0.0000 Sb
0.0000 0.0000 0.0000 Sb
0.3707 0.1293 0.5000 Be
0.6293 0.8707 0.5000 Be
0.8707 0.3707 0.5000 Be
0.1293 0.6293 0.5000 Be
0.1479 0.3521 0.0000 Co
0.6479 0.1479 0.0000 Co
0.8521 0.6479 0.0000 Co
0.3521 0.8521 0.0000 Co
```

Calculated values
Raw formation energy = 0.6 eV per formula unit
Space group = No. 127
DOS(E_F) = 7.84 states/eV per cell
Energy relative to the lowest polymorph listed for this composition = 40 meV/atom

***

# 3
VASP calculation (PBE) on a relaxed structure of BeCoSb2.

```
BeCoSb2
1.0
5.7867 -0.0017 0.0000
3.3749 4.7006 0.0000
-4.5808 -2.3494 2.6424
Be Co Sb
1 1 2
Direct
0.5000 0.5000 0.0000 Be
0.7500 0.2500 0.5000 Co
0.0000 0.0000 0.0000 Sb
0.2500 0.7500 0.5000 Sb
```

Calculated values
Raw formation energy = 2.3 eV per formula unit
Space group = No. 119
DOS(E_F) = 3.66 states/eV per cell

***

# 4
VASP calculation (PBE) on a relaxed structure of BeCo3Sb.

```
BeCo3Sb
1.0
4.5882 0.0000 0.0000
0.0000 4.5882 0.0000
0.0000 0.0000 4.5882
Co Be Sb
3 1 1
Direct
0.5000 0.0000 0.0000 Co
0.0000 0.0000 0.5000 Co
0.0000 0.5000 0.0000 Co
0.5000 0.5000 0.5000 Be
0.0000 0.0000 0.0000 Sb
```

Calculated values
Raw formation energy = 7.6 eV per formula unit
Space group = No. 221
DOS(E_F) = 14.06 states/eV per cell
Energy relative to the lowest polymorph listed for this composition = 1270 meV/atom

***

# 5
VASP calculation (PBE) on a relaxed structure of BeCoSb.

```
BeCoSb
1.0
4.0048 0.0000 0.0000
2.0024 3.4683 0.0000
2.0024 1.1561 3.2699
Sb Be Co
1 1 1
Direct
0.0000 0.0000 0.0000 Sb
0.5000 0.5000 0.5000 Be
0.7500 0.7500 0.7500 Co
```

Calculated values
Raw formation energy = 0.1 eV per formula unit
Space group = No. 216
DOS(E_F) = 2.56 states/eV per cell
Energy relative to the lowest polymorph listed for this composition = 0 meV/atom

***

# 6
VASP calculation (PBE) on a relaxed structure of Be2CoSb.

```
Be2CoSb
1.0
-1.4911 -0.9609 2.4681
0.1352 -3.0748 -1.1154
4.4286 -0.6798 2.4108
Sb Be Co
1 2 1
Direct
0.5000 0.5000 0.7397 Sb
0.5000 0.5000 0.2397 Be
0.0000 0.0000 0.0516 Be
0.0000 0.0000 0.4690 Co
```

Calculated values
Raw formation energy = 1.1 eV per formula unit
Space group = No. 25
DOS(E_F) = 1.57 states/eV per cell

***

# 7
VASP calculation (PBE) on a relaxed structure of BeCoSb.

```
BeCoSb
1.0
-1.9890 -2.7495 1.6702
3.1826 1.2712 1.6002
-1.8147 2.3642 1.7310
Co Be Sb
1 1 1
Direct
0.6667 0.3333 0.1668 Co
0.0000 0.0000 0.1663 Be
0.3333 0.6667 0.6669 Sb
```

Calculated values
Raw formation energy = 0.7 eV per formula unit
Space group = No. 187
DOS(E_F) = 2.76 states/eV per cell
Energy relative to the lowest polymorph listed for this composition = 203 meV/atom

***

# 8
VASP calculation (PBE) on a relaxed structure of BeCoSb2.

```
BeCoSb2
1.0
-2.8081 -1.8146 1.7564
0.2412 -3.7195 0.6083
1.8736 -0.7597 6.2369
Sb Be Co
2 1 1
Direct
0.9590 0.9590 0.1206 Sb
0.7911 0.7911 0.6289 Sb
0.5414 0.5414 0.3758 Be
0.2085 0.2085 0.3747 Co
```

Calculated values
Raw formation energy = -0.3 eV per formula unit
Space group = No. 8
DOS(E_F) = 1.42 states/eV per cell

***

# 9
VASP calculation (PBE) on a relaxed structure of BeCoSb.

```
BeCoSb
1.0
-2.5558 -1.8197 3.0695
-2.3497 -3.6932 0.3247
1.5890 -2.3598 1.7299
Sb Be Co
1 1 1
Direct
0.6710 0.6710 0.3290 Sb
0.9992 0.9992 0.0008 Be
0.3298 0.3298 0.6702 Co
```

Calculated values
Raw formation energy = 0.5 eV per formula unit
Space group = No. 107
DOS(E_F) = 1.80 states/eV per cell
Energy relative to the lowest polymorph listed for this composition = 135 meV/atom

***

# 10
VASP calculation (PBE) on a relaxed structure of Be2CoSb.

```
Be2CoSb
1.0
-0.4780 1.3950 -2.7544
-2.6030 -1.6910 -0.4047
-2.7374 3.6568 2.3272
Co Sb Be
1 1 2
Direct
0.5000 0.5000 0.2500 Co
0.5000 0.5000 0.7500 Sb
0.0000 0.0000 0.0504 Be
0.0000 0.0000 0.4496 Be
```

Calculated values
Raw formation energy = 0.9 eV per formula unit
Space group = No. 123
DOS(E_F) = 1.87 states/eV per cell

***

# 11
VASP calculation (PBE) on a relaxed structure of Be2CoSb.

```
Be2CoSb
1.0
3.5413 0.0000 0.0000
0.0000 3.0882 -0.2116
0.0000 0.5519 4.8544
Co Be Sb
1 2 1
Direct
0.0000 0.3636 0.4568 Co
0.0000 0.8874 0.1504 Be
0.5000 0.3920 0.1916 Be
0.5000 0.8570 0.7012 Sb
```

Calculated values
Raw formation energy = 0.8 eV per formula unit
Space group = No. 6
DOS(E_F) = 1.25 states/eV per cell

***

# 12
VASP calculation (PBE) on a relaxed structure of ScBeCo2Sb.

```
ScBeCo2Sb
1.0
-0.4252 -0.2615 -4.0765
4.3270 -1.1404 -0.3782
-1.0131 -3.9637 0.3600
Co Be Sc Sb
2 1 1 1
Direct
0.0000 0.0000 0.5000 Co
0.5000 0.0000 0.0000 Co
0.0000 0.0000 0.0000 Be
0.5000 0.5000 0.5000 Sc
0.0000 0.5000 0.0000 Sb
```

Calculated values
Raw formation energy = 1.0 eV per formula unit
Space group = No. 123
DOS(E_F) = 3.77 states/eV per cell